# 1
The following is a GGA-PBE calculation of a relaxed Pa2Ni15Pd2 crystal, from Alexandria via LeMat-Bulk.

Calculated values
distance to the lowest polymorph of the same formula = 165.8 meV per atom
density = 10.19 g/cm³
D(E_F) = 26.0 states/eV/f.u.
space-group type = R-3m, No. 166

Cell lengths 6.3618, 6.3618, 6.3618 Å; angles 83.86, 83.86, 83.86 degrees
With the nearest neighbours (Å) after each atom.
Positions (direct):
Ni: 0.5000 0.0000 0.0000  8 Ni 2.45-2.51, 2 Pa 2.47
Pd: 0.3745 0.3745 0.3745  1 Pa 2.76, 12 Ni 2.78-2.92, 1 Pd 3.05
Pa: 0.8527 0.8527 0.8527  6 Ni 2.47-2.57, 1 Pd 2.76
Ni: 0.3433 0.3433 0.8228  8 Ni 2.36-2.51, 1 Pa 2.57
Pd: 0.6255 0.6255 0.6255  1 Pa 2.76, 12 Ni 2.78-2.92, 1 Pd 3.05
Ni: 0.6567 0.6567 0.1772  8 Ni 2.36-2.51, 1 Pa 2.57
Ni: 0.0000 0.0000 0.5000  8 Ni 2.45-2.51, 2 Pa 2.47
Ni: 0.6567 0.1772 0.6567  8 Ni 2.36-2.51, 1 Pa 2.57
Ni: 0.3433 0.8228 0.3433  8 Ni 2.36-2.51, 1 Pa 2.57
Ni: 0.0000 0.6763 0.3237  6 Ni 2.45-2.49
Ni: 0.8228 0.3433 0.3433  8 Ni 2.36-2.51, 1 Pa 2.57
Pa: 0.1473 0.1473 0.1473  6 Ni 2.47-2.57, 1 Pd 2.76
Ni: 0.6763 0.0000 0.3237  6 Ni 2.45-2.49
Ni: 0.3237 0.0000 0.6763  6 Ni 2.45-2.49
Ni: 0.3237 0.6763 0.0000  6 Ni 2.45-2.49
Ni: 0.0000 0.3237 0.6763  6 Ni 2.45-2.49
Ni: 0.1772 0.6567 0.6567  8 Ni 2.36-2.51, 1 Pa 2.57
Ni: 0.6763 0.3237 0.0000  6 Ni 2.45-2.49
Ni: 0.0000 0.5000 0.0000  8 Ni 2.45-2.51, 2 Pa 2.47

---

# 2
The following is a GGA-PBE calculation of a relaxed PaNi8Pd3 crystal, from Alexandria via LeMat-Bulk.

Calculated values
distance to the lowest polymorph of the same formula = 3.2 meV per atom
density = 10.72 g/cm³
D(E_F) = 14.9 states/eV/f.u.
space-group type = R3m, No. 160

Cell lengths 4.8340, 4.8340, 8.2881 Å; angles 73.04, 73.04, 60.00 degrees
With the nearest neighbours (Å) after each atom.
Positions (direct):
Ni: 0.1870 0.1870 0.4390  6 Ni 2.41-2.44
Ni: 0.4390 0.9394 0.1827  6 Ni 2.38-2.44
Pd: 0.0003 0.0003 0.9990  12 Ni 2.78-2.83, 1 Pa 2.91, 3 Pd 2.95
Pa: 0.8760 0.8760 0.3721  12 Ni 2.83-2.85, 4 Pd 2.91-2.98
Ni: 0.4363 0.9366 0.6905  6 Ni 2.37-2.42
Ni: 0.4390 0.4390 0.1827  6 Ni 2.38-2.44
Pd: 0.4976 0.4976 0.5073  12 Ni 2.81-2.89, 1 Pd 2.88, 3 Pa 2.98
Ni: 0.6879 0.6879 0.9364  6 Ni 2.37-2.38
Ni: 0.9394 0.4390 0.1827  6 Ni 2.38-2.44
Pd: 0.3744 0.3744 0.8769  12 Ni 2.76-2.83, 4 Pd 2.88-2.95
Ni: 0.9366 0.9366 0.6905  6 Ni 2.37-2.42
Ni: 0.9366 0.4363 0.6905  6 Ni 2.37-2.42

---

| no. | V (A^3/atom) | calculated formation energy (meV per atom) |
| --- | --- | --- |
| 1 | 13.33 | -93.2 |
| 2 | 13.16 | -215.3 |